(1)
Crystalline UGaCuPt3 at its relaxed geometry. Source: the Alexandria database, functional PBE-GGA.

Cell lengths 5.7971, 5.6157, 7.0824 Å; angles 113.36, 90.00, 90.00 degrees
Last column: nearest neighbours and their distance in Å.
Fractional positions:
U  0.7500  0.3286  0.6573  1 Cu 2.66, 2 Pt 2.81, 2 Ga 2.96
U  0.2500  0.6714  0.3427  1 Cu 2.66, 2 Pt 2.81, 2 Ga 2.96
Ga  0.2500  0.3743  0.7485  5 Pt 2.51-2.61, 2 Cu 2.81
Ga  0.7500  0.6257  0.2515  5 Pt 2.51-2.61, 2 Cu 2.81
Cu  0.2500  0.8758  0.7516  4 Pt 2.57, 1 U 2.66, 2 Ga 2.81
Cu  0.7500  0.1242  0.2484  4 Pt 2.57, 1 U 2.66, 2 Ga 2.81
Pt  0.2500  0.1813  0.3626  1 Ga 2.51
Pt  0.0000  0.2465  0.0000  2 Cu 2.57, 2 Ga 2.61, 2 Pt 2.77-2.85
Pt  0.5000  0.7535  0.0000  2 Cu 2.57, 2 Ga 2.61, 2 Pt 2.77-2.85
Pt  0.5000  0.2465  0.0000  2 Cu 2.57, 2 Ga 2.61, 2 Pt 2.77-2.85
Pt  0.0000  0.7535  0.0000  2 Cu 2.57, 2 Ga 2.61, 2 Pt 2.77-2.85
Pt  0.7500  0.8187  0.6374  1 Ga 2.51

Symmetry: Cmcm (63)
Uncorrected energy: -6.4559 eV/atom
Crystal system: orthorhombic
Energy relative to the elements: -8.46 kcal/mol of atoms

(2)
Crystalline TbCe3Sb4 at its relaxed geometry. Source: the Alexandria database, functional PBE-GGA.

Cell lengths 6.3329, 6.3329, 6.3329 Å; angles 90.00, 90.00, 90.00 degrees
Last column: nearest neighbours and their distance in Å.
Fractional positions:
Sb  0.5000  0.0000  0.0000  4 Ce 3.17, 2 Tb 3.17
Sb  0.0000  0.5000  0.0000  4 Ce 3.17, 2 Tb 3.17
Sb  0.0000  0.0000  0.5000  4 Ce 3.17, 2 Tb 3.17
Sb  0.5000  0.5000  0.5000  6 Ce 3.17
Tb  0.0000  0.0000  0.0000  6 Sb 3.17
Ce  0.0000  0.5000  0.5000  6 Sb 3.17
Ce  0.5000  0.0000  0.5000  6 Sb 3.17
Ce  0.5000  0.5000  0.0000  6 Sb 3.17

ΔE_f (raw): -1.064 eV per atom
Symmetry: Pm-3m (221)
Uncorrected energy: -5.9292 eV/atom
Crystal system: cubic
Distance to the lowest polymorph of the same formula: 3 meV per atom

(3)
Crystalline Re2SnOs at its relaxed geometry. Source: the Alexandria database, functional PBE-GGA.

Cell lengths 5.9752, 5.9752, 6.9534 Å; angles 64.55, 64.55, 90.00 degrees
Last column: nearest neighbours and their distance in Å.
Fractional positions:
Re  0.6613  0.1250  0.2500  2 Os 2.40, 2 Sn 2.66
Re  0.0887  0.6250  0.2500  2 Os 2.40, 2 Sn 2.66
Re  0.3750  0.3387  0.7500  2 Os 2.40, 2 Sn 2.66
Re  0.8750  0.9113  0.7500  2 Os 2.40, 2 Sn 2.66
Os  0.0000  0.0000  0.0000  4 Re 2.40
Os  0.7500  0.2500  0.5000  4 Re 2.40
Sn  0.5000  0.5000  0.0000  4 Re 2.66
Sn  0.2500  0.7500  0.5000  4 Re 2.66

Symmetry: I-42d (122)
Uncorrected energy: -8.5437 eV/atom
Crystal system: tetragonal
Energy relative to the elements: 34.33 kcal/mol of atoms

(4)
Crystalline NdFe2GeC at its relaxed geometry. Source: the Alexandria database, functional PBE-GGA.

Cell lengths 3.9550, 5.6734, 6.9003 Å; angles 90.00, 90.00, 110.40 degrees
Last column: nearest neighbours and their distance in Å.
Fractional positions:
Nd  0.4469  0.8937  0.7500  4 C 2.68, 1 Ge 3.00
Nd  0.5531  0.1063  0.2500  4 C 2.68, 1 Ge 3.00
Fe  0.1622  0.3244  0.9351  1 C 1.78
Fe  0.8378  0.6756  0.0649  1 C 1.78
Fe  0.1622  0.3244  0.5649  1 C 1.78
Fe  0.8378  0.6756  0.4351  1 C 1.78
Ge  0.7285  0.4570  0.7500  6 Fe 2.46
Ge  0.2715  0.5430  0.2500  6 Fe 2.46
C  0.0000  0.0000  0.0000  2 Fe 1.78
C  0.0000  0.0000  0.5000  2 Fe 1.78

Symmetry: Cmcm (63)
Uncorrected energy: -7.4380 eV/atom
Crystal system: orthorhombic
Energy relative to the elements: -7.63 kcal/mol of atoms